Entry 1:
Entry from the Alexandria database: Sm4NiAg after structural relaxation (GGA-PBE).

The structure in extended XYZ format:
```
12
Lattice="-1.147 3.244 6.179 -0.181 -6.413 3.333 6.965 0.032 0.442" Properties=species:S:1:pos:R:3 pbc="T T T"
Sm 0.102 -1.327 7.694
Sm 4.996 1.055 4.702
Sm 1.981 -1.111 3.142
Sm 4.200 -4.671 4.254
Sm 5.534 -1.810 2.259
Sm 0.640 -4.191 5.251
Sm 3.655 -2.026 6.811
Sm 1.436 1.534 5.700
Ni 2.909 1.638 3.310
Ni 3.392 -3.190 1.887
Ag 0.000 0.000 0.000
Ag -0.664 -1.585 4.756
```

Output
polymorph energy (0 for the lowest one)	0.96	eV/f.u.
raw total energy	-4.6593	eV per atom
formation energy	-0.074	eV per atom
magnetization	0.000	μB/atom


Entry 2:
Entry from the Alexandria database: Sm3NiAg after structural relaxation (GGA-PBE).

The structure in extended XYZ format:
```
10
Lattice="1.130 1.223 5.895 -1.220 -4.605 3.851 7.144 -3.870 2.822" Properties=species:S:1:pos:R:3 pbc="T T T"
Sm 6.216 -4.458 5.567
Sm 0.838 -2.794 7.001
Sm 5.527 -3.100 2.487
Sm 1.528 -4.152 10.081
Sm 4.816 -5.035 8.819
Sm 2.238 -2.217 3.749
Ni -0.497 -2.813 4.480
Ni 0.407 -0.569 5.267
Ag 4.029 -2.381 6.720
Ag 3.026 -4.870 5.847
```

Output
raw total energy	-4.7756	eV per atom
formation energy	-0.218	eV per atom
magnetization	0.000	μB/atom